1.
{
  "formula": "YFe3Rh",
  "functional": "PBE",
  "state": "relaxed",
  "relative_energy_mev_per_atom": 1280,
  "e_form_mev_per_atom": 1920,
  "lattice_angstrom": [[-0.047, -4.361, -1.323], [2.832, -1.064, 3.409], [-3.571, -0.787, 2.721]],
  "species": ["Y", "Rh", "Fe", "Fe", "Fe"],
  "frac_coords": [[0.000, 0.000, 0.000], [0.500, 0.500, 0.500], [0.000, 0.500, 0.000], [0.000, 0.000, 0.500], [0.500, 0.000, 0.000]]
}

***

2.
{
  "formula": "PmTm2Tl",
  "functional": "PBE",
  "state": "relaxed",
  "relative_energy_mev_per_atom": 72,
  "e_form_mev_per_atom": -101,
  "lattice_angstrom": [[-1.670, -2.443, -2.068], [7.389, -3.815, -1.458], [-0.778, -4.743, 6.231]],
  "species": ["Pm", "Pm", "Tm", "Tm", "Tm", "Tm", "Tl", "Tl"],
  "frac_coords": [[0.250, 0.104, 0.341], [0.750, 0.896, 0.659], [0.750, 0.834, 0.086], [0.250, 0.574, 0.823], [0.750, 0.426, 0.177], [0.250, 0.166, 0.914], [0.250, 0.676, 0.403], [0.750, 0.324, 0.597]]
}

***

3.
{
  "formula": "BaAl2Ag",
  "functional": "PBE",
  "state": "relaxed",
  "e_form_mev_per_atom": 49,
  "lattice_angstrom": [[-3.548, 3.483, 1.561], [0.574, -1.597, 4.927], [4.149, 1.547, -2.748]],
  "species": ["Ba", "Ag", "Al", "Al"],
  "frac_coords": [[0.500, 0.500, 0.000], [0.750, 0.250, 0.500], [0.000, 0.000, 0.000], [0.250, 0.750, 0.500]]
}

***

4.
{
  "formula": "KMn2TlI8",
  "functional": "PBE",
  "state": "relaxed",
  "formation_energy_uncorrected_ev_per_atom": -0.5184,
  "lattice_angstrom": [[-3.720, -2.332, 6.151], [-2.462, -1.955, -6.873], [6.229, -9.039, 0.340]],
  "species": ["K", "Mn", "Mn", "Tl", "I", "I", "I", "I", "I", "I", "I", "I"],
  "frac_coords": [[0.000, 0.000, 0.000], [0.667, 0.333, 0.233], [0.333, 0.667, 0.767], [0.000, 0.000, 0.500], [0.333, 0.667, 0.003], [0.337, 0.339, 0.296], [0.661, 0.998, 0.296], [0.667, 0.333, 0.997], [0.339, 0.002, 0.704], [0.663, 0.661, 0.704], [0.998, 0.337, 0.704], [0.002, 0.663, 0.296]]
}

***

5.
{
  "formula": "Ag8Ir",
  "functional": "PBE",
  "state": "relaxed",
  "e_form_mev_per_atom": 189,
  "lattice_angstrom": [[2.075, -5.754, 2.137], [-2.370, 5.679, 2.028], [-5.553, -2.183, -2.526]],
  "species": ["Ag", "Ag", "Ag", "Ag", "Ag", "Ag", "Ag", "Ag", "Ir"],
  "frac_coords": [[0.330, 0.000, 0.330], [0.670, 0.000, 0.670], [0.000, 0.670, 0.670], [0.336, 0.664, 0.000], [0.664, 0.664, 0.328], [0.000, 0.330, 0.330], [0.336, 0.336, 0.672], [0.664, 0.336, 0.000], [0.000, 0.000, 0.000]]
}

***

What did the first record say?
{
  "formula": "YFe3Rh",
  "functional": "PBE",
  "state": "relaxed",
  "relative_energy_mev_per_atom": 1280,
  "e_form_mev_per_atom": 1920,
  "lattice_angstrom": [[-0.047, -4.361, -1.323], [2.832, -1.064, 3.409], [-3.571, -0.787, 2.721]],
  "species": ["Y", "Rh", "Fe", "Fe", "Fe"],
  "frac_coords": [[0.000, 0.000, 0.000], [0.500, 0.500, 0.500], [0.000, 0.500, 0.000], [0.000, 0.000, 0.500], [0.500, 0.000, 0.000]]
}